(1)
Crystalline KAcHg at its relaxed geometry. Source: Alexandria, functional GGA-PBE.

```
data_KAcHg
_space_group_name_H-M_alt 'P 4/n m m'
_space_group_IT_number 129
_cell_length_a 5.453
_cell_length_b 5.453
_cell_length_c 9.019
_cell_angle_alpha 90.00
_cell_angle_beta 90.00
_cell_angle_gamma 90.00
loop_
_space_group_symop_operation_xyz
'x,y,z'
'-x,-y,-z'
'-y+1/2,x,z'
'y+1/2,-x,-z'
'-x+1/2,-y+1/2,z'
'x+1/2,y+1/2,-z'
'y,-x+1/2,z'
'-y,x+1/2,-z'
'x+1/2,-y,-z'
'-x+1/2,y,z'
'-y,-x,-z'
'y,x,z'
'-x,y+1/2,-z'
'x,-y+1/2,z'
'y+1/2,x+1/2,-z'
'-y+1/2,-x+1/2,z'
loop_
_atom_site_label
_atom_site_type_symbol
_atom_site_fract_x
_atom_site_fract_y
_atom_site_fract_z
K1 K 0.250 0.250 0.119
Ac1 Ac 0.250 0.750 0.500
Hg1 Hg 0.250 0.250 0.717
```

Results
ΔE to the lowest computed polymorph (meV/atom): 9.5


(2)
Crystalline KAc5Hg6 at its relaxed geometry. Source: Alexandria, functional GGA-PBE.

```
data_KAc5Hg6
_space_group_name_H-M_alt 'P 1 2/m 1'
_space_group_IT_number 10
_cell_length_a 5.720
_cell_length_b 8.099
_cell_length_c 9.050
_cell_angle_alpha 90.00
_cell_angle_beta 108.36
_cell_angle_gamma 90.00
loop_
_space_group_symop_operation_xyz
'x,y,z'
'-x,-y,-z'
'-x,y,-z'
'x,-y,z'
loop_
_atom_site_label
_atom_site_type_symbol
_atom_site_fract_x
_atom_site_fract_y
_atom_site_fract_z
K1 K 0.000 0.000 0.000
Ac1 Ac 0.000 0.500 0.000
Ac2 Ac 0.335 0.500 0.669
Ac3 Ac 0.339 0.000 0.677
Hg1 Hg 0.172 0.251 0.344
Hg2 Hg 0.500 0.261 0.000
```

Results
Energy (eV/atom): -2.38